The following is a DFT calculation (PBE-GGA) of a relaxed Ti2BP crystal.

Cell: 5.924 5.924 5.924 Å, 32.61 32.61 32.61°
Sites, in units of the cell vectors:
Ti 0.241 0.241 0.241
Ti 0.759 0.759 0.759
B 0.500 0.500 0.500
P 0.000 0.000 0.000

Summary:
Symmetry: R-3m (166)
ΔE_f in eV per atom: -0.807

The following is a DFT calculation (PBE-GGA) of a relaxed TiB3P crystal.

Cell: 4.134 4.134 4.134 Å, 90.00 90.00 90.00°
Sites, in units of the cell vectors:
Ti 0.000 0.000 0.000
B 0.000 0.000 0.500
B 0.000 0.500 0.000
B 0.500 0.000 0.000
P 0.500 0.500 0.500

Summary:
Symmetry: Pm-3m (221)
ΔE_f in eV per atom: 1.882

The following is a DFT calculation (PBE-GGA) of a relaxed Ti8B2P crystal.

Cell: 6.339 6.339 4.360 Å, 96.64 96.64 112.73°
Sites, in units of the cell vectors:
Ti 0.072 0.326 0.570
Ti 0.246 0.754 0.000
Ti 0.326 0.072 0.570
Ti 0.393 0.393 0.187
Ti 0.607 0.607 0.813
Ti 0.674 0.928 0.430
Ti 0.754 0.246 0.000
Ti 0.928 0.674 0.430
B 0.310 0.690 0.500
B 0.690 0.310 0.500
P 0.000 0.000 0.000

Summary:
Symmetry: C2/m (12)
ΔE_f in eV per atom: -0.362

The following is a DFT calculation (PBE-GGA) of a relaxed Ti2BP crystal.

Cell: 4.172 4.172 4.172 Å, 60.00 60.00 60.00°
Sites, in units of the cell vectors:
Ti 0.250 0.250 0.250
Ti 0.750 0.750 0.750
B 0.000 0.000 0.000
P 0.500 0.500 0.500

Summary:
Symmetry: Fm-3m (225)
ΔE_f in eV per atom: -0.189

The following is a DFT calculation (PBE-GGA) of a relaxed TiBP2 crystal.

Cell: 4.227 4.227 4.227 Å, 60.00 60.00 60.00°
Sites, in units of the cell vectors:
Ti 0.000 0.000 0.000
B 0.500 0.500 0.500
P 0.250 0.250 0.250
P 0.750 0.750 0.750

Summary:
Symmetry: Fm-3m (225)
ΔE_f in eV per atom: 0.636

The following is a DFT calculation (PBE-GGA) of a relaxed YTiBP2 crystal.

Cell: 5.131 5.131 5.217 Å, 90.00 90.00 90.00°
Sites, in units of the cell vectors:
Y 0.000 0.000 0.000
Ti 0.000 0.000 0.500
B 0.500 0.500 0.500
P 0.000 0.500 0.000
P 0.500 0.000 0.000

Summary:
Symmetry: P4/mmm (123)
ΔE_f in eV per atom: 1.890

The following is a DFT calculation (PBE-GGA) of a relaxed TlB2P crystal.

Cell: 5.842 5.842 5.842 Å, 127.47 127.47 77.48°
Sites, in units of the cell vectors:
Tl 0.000 0.000 0.000
Tl 0.750 0.250 0.500
B 0.199 0.625 0.074
B 0.375 0.449 0.574
B 0.551 0.125 0.926
B 0.875 0.801 0.426
P 0.250 0.750 0.500
P 0.500 0.500 0.000

Summary:
Symmetry: I-42d (122)
ΔE_f in eV per atom: 0.582

The following is a DFT calculation (PBE-GGA) of a relaxed TlB2P crystal.

Cell: 4.344 4.344 4.344 Å, 60.00 60.00 60.00°
Sites, in units of the cell vectors:
Tl 0.000 0.000 0.000
B 0.250 0.250 0.250
B 0.750 0.750 0.750
P 0.500 0.500 0.500

Summary:
Symmetry: Fm-3m (225)
ΔE_f in eV per atom: 1.817

The following is a DFT calculation (PBE-GGA) of a relaxed TlB3P crystal.

Cell: 4.034 4.034 4.034 Å, 90.00 90.00 90.00°
Sites, in units of the cell vectors:
Tl 0.000 0.000 0.000
B 0.000 0.500 0.500
B 0.500 0.000 0.500
B 0.500 0.500 0.000
P 0.500 0.500 0.500

Summary:
Symmetry: Pm-3m (221)
ΔE_f in eV per atom: 1.465

The following is a DFT calculation (PBE-GGA) of a relaxed Tl2BP crystal.

Cell: 4.946 4.946 4.946 Å, 60.00 60.00 60.00°
Sites, in units of the cell vectors:
Tl 0.250 0.250 0.250
Tl 0.750 0.750 0.750
B 0.000 0.000 0.000
P 0.500 0.500 0.500

Summary:
Symmetry: Fm-3m (225)
ΔE_f in eV per atom: 1.190

The following is a DFT calculation (PBE-GGA) of a relaxed TlBP3 crystal.

Cell: 4.336 4.336 4.336 Å, 90.00 90.00 90.00°
Sites, in units of the cell vectors:
Tl 0.000 0.000 0.000
B 0.500 0.500 0.500
P 0.000 0.500 0.500
P 0.500 0.000 0.500
P 0.500 0.500 0.000

Summary:
Symmetry: Pm-3m (221)
ΔE_f in eV per atom: 0.876

The following is a DFT calculation (PBE-GGA) of a relaxed TlB3P crystal.

Cell: 4.494 4.494 4.494 Å, 90.00 90.00 90.00°
Sites, in units of the cell vectors:
Tl 0.000 0.000 0.000
B 0.000 0.000 0.500
B 0.000 0.500 0.000
B 0.500 0.000 0.000
P 0.500 0.500 0.500

Summary:
Symmetry: Pm-3m (221)
ΔE_f in eV per atom: 2.703